# RbInP2O7 (PBE, relaxed)
data_RbInP2O7
_cell_length_a 10.6008
_cell_length_b 7.6759
_cell_length_c 8.6438
_cell_angle_alpha 74.18
_cell_angle_beta 90.00
_cell_angle_gamma 90.00
_space_group_name_H-M_alt 'P 1'
_space_group_IT_number 1
_space_group_name_Hall 'P 1'
loop_
_atom_site_label
_atom_site_type_symbol
_atom_site_fract_x
_atom_site_fract_y
_atom_site_fract_z
Rb1 Rb 0.3179 0.6852 0.9435
Rb2 Rb 0.6821 0.3148 0.0565
Rb3 Rb 0.8179 0.3148 0.5565
Rb4 Rb 0.1821 0.6852 0.4435
In1 In 0.3997 0.2623 0.7568
In2 In 0.1003 0.2623 0.2568
In3 In 0.6003 0.7377 0.2432
In4 In 0.8997 0.7377 0.7432
P1 P 0.1342 0.0651 0.6890
P2 P 0.9013 0.6284 0.1750
P3 P 0.0987 0.3716 0.8250
P4 P 0.3658 0.0651 0.1890
P5 P 0.6342 0.9349 0.8110
P6 P 0.4013 0.3716 0.3250
P7 P 0.5987 0.6284 0.6750
P8 P 0.8658 0.9349 0.3110
O1 O 0.5913 0.6371 0.4989
O2 O 0.4991 0.5035 0.7784
O3 O 0.7756 0.9521 0.7688
O4 O 0.2244 0.0479 0.2312
O5 O 0.5780 0.1261 0.7643
O6 O 0.9220 0.1261 0.2643
O7 O 0.0009 0.5035 0.2784
O8 O 0.0780 0.8739 0.7357
O9 O 0.3977 0.1773 0.0194
O10 O 0.7307 0.5743 0.7469
O11 O 0.2307 0.4257 0.7531
O12 O 0.2756 0.0479 0.7312
O13 O 0.0669 0.1693 0.8090
O14 O 0.9331 0.8307 0.1910
O15 O 0.9087 0.6371 0.9989
O16 O 0.7244 0.9521 0.2688
O17 O 0.7693 0.5743 0.2469
O18 O 0.4331 0.1693 0.3090
O19 O 0.9991 0.4965 0.7216
O20 O 0.8977 0.8227 0.4806
O21 O 0.4087 0.3629 0.5011
O22 O 0.5669 0.8307 0.6910
O23 O 0.0913 0.3629 0.0011
O24 O 0.6023 0.8227 0.9806
O25 O 0.2693 0.4257 0.2531
O26 O 0.5009 0.4965 0.2216
O27 O 0.1023 0.1773 0.5194
O28 O 0.4220 0.8739 0.2357
# uncorrected formation energy	-2170.1	meV per atom
# magnetic moment	0.0	μB per cell
# space-group type	P2_1/c


# RbInPO2 (PBE, relaxed)
data_RbInPO2
_cell_length_a 4.4620
_cell_length_b 4.4620
_cell_length_c 5.2211
_cell_angle_alpha 90.00
_cell_angle_beta 90.00
_cell_angle_gamma 90.00
_space_group_name_H-M_alt 'P 1'
_space_group_IT_number 1
_space_group_name_Hall 'P 1'
loop_
_atom_site_label
_atom_site_type_symbol
_atom_site_fract_x
_atom_site_fract_y
_atom_site_fract_z
P1 P 0.0000 0.0000 0.5000
O1 O 0.0000 0.5000 0.0000
O2 O 0.5000 0.0000 0.0000
Rb1 Rb 0.5000 0.5000 0.5000
In1 In 0.0000 0.0000 0.0000
# uncorrected formation energy	-183.9	meV per atom
# distance to the lowest polymorph of the same formula	0.00	eV/f.u.
# magnetic moment	3.0	μB per cell
# space-group type	P4/mmm


# RbInPO2 (PBE, relaxed)
data_RbInPO2
_cell_length_a 4.3963
_cell_length_b 4.3963
_cell_length_c 6.5854
_cell_angle_alpha 90.00
_cell_angle_beta 90.00
_cell_angle_gamma 90.00
_space_group_name_H-M_alt 'P 1'
_space_group_IT_number 1
_space_group_name_Hall 'P 1'
loop_
_atom_site_label
_atom_site_type_symbol
_atom_site_fract_x
_atom_site_fract_y
_atom_site_fract_z
P1 P 0.0000 0.0000 0.5000
O1 O 0.0000 0.5000 0.0000
O2 O 0.5000 0.0000 0.0000
Rb1 Rb 0.0000 0.0000 0.0000
In1 In 0.5000 0.5000 0.5000
# uncorrected formation energy	943.5	meV per atom
# distance to the lowest polymorph of the same formula	5.64	eV/f.u.
# magnetic moment	2.0	μB per cell
# space-group type	P4/mmm


# RbInP2O6 (PBE, relaxed)
data_RbInP2O6
_cell_length_a 8.2744
_cell_length_b 8.2744
_cell_length_c 5.5657
_cell_angle_alpha 97.92
_cell_angle_beta 97.92
_cell_angle_gamma 97.80
_space_group_name_H-M_alt 'P 1'
_space_group_IT_number 1
_space_group_name_Hall 'P 1'
loop_
_atom_site_label
_atom_site_type_symbol
_atom_site_fract_x
_atom_site_fract_y
_atom_site_fract_z
Rb1 Rb 0.0902 0.9098 0.2500
Rb2 Rb 0.9098 0.0902 0.7500
In1 In 0.5973 0.4027 0.2500
In2 In 0.4027 0.5973 0.7500
P1 P 0.4564 0.0720 0.6860
P2 P 0.9280 0.5436 0.8140
P3 P 0.5436 0.9280 0.3140
P4 P 0.0720 0.4564 0.1860
O1 O 0.8850 0.5035 0.0900
O2 O 0.4965 0.1150 0.4100
O3 O 0.1150 0.4965 0.9100
O4 O 0.5035 0.8850 0.5900
O5 O 0.0665 0.2779 0.2033
O6 O 0.7221 0.9335 0.2967
O7 O 0.9335 0.7221 0.7967
O8 O 0.2779 0.0665 0.7033
O9 O 0.1671 0.5881 0.3879
O10 O 0.4119 0.8329 0.1121
O11 O 0.8329 0.4119 0.6121
O12 O 0.5881 0.1671 0.8879
# uncorrected formation energy	-1918.2	meV per atom
# magnetic moment	0.0	μB per cell
# space-group type	C2/c